Entry 1:
# LiTe2AsI

Crystalline LiTe2AsI at its relaxed geometry (PBE, the Alexandria database).

Geometry as CIF:
```
data_LiTe2AsI
_space_group_name_H-M_alt 'P 4/m m m'
_space_group_IT_number 123
_space_group_name_Hall '-P 4 2'
_cell_length_a 5.164
_cell_length_b 5.164
_cell_length_c 5.085
_cell_angle_alpha 90.00
_cell_angle_beta 90.00
_cell_angle_gamma 90.00
loop_
_atom_site_label
_atom_site_type_symbol
_atom_site_fract_x
_atom_site_fract_y
_atom_site_fract_z
Li1 Li 0.000 0.000 0.000
Te1 Te 0.000 0.500 0.000
As1 As 0.500 0.500 0.500
I1 I 0.000 0.000 0.500
```

Results
Volume, A^3/atom: 27.1
Magnetization, μB per formula unit: 0.0
E_form (uncorrected), meV/atom: 398
Crystal system: tetragonal
Distance to the lowest polymorph of the same formula, meV per atom: 311

Entry 2:
# YTh3In4

Crystalline YTh3In4 at its relaxed geometry (PBE, the Alexandria database).

Geometry as CIF:
```
data_YTh3In4
_space_group_name_H-M_alt 'P m m m'
_space_group_IT_number 47
_space_group_name_Hall '-P 2 2'
_cell_length_a 3.327
_cell_length_b 5.864
_cell_length_c 11.714
_cell_angle_alpha 90.00
_cell_angle_beta 90.00
_cell_angle_gamma 90.00
loop_
_atom_site_label
_atom_site_type_symbol
_atom_site_fract_x
_atom_site_fract_y
_atom_site_fract_z
Y1 Y 0.000 0.000 0.000
Th1 Th 0.000 0.000 0.500
Th2 Th 0.000 0.500 0.249
In1 In 0.500 0.000 0.244
In2 In 0.500 0.500 0.000
In3 In 0.500 0.500 0.500
```

Results
Volume, A^3/atom: 28.6
Magnetization, μB per formula unit: 0.4
DFT formation energy, eV/atom: -0.279
Crystal system: orthorhombic
Distance to the lowest polymorph of the same formula, meV per atom: 0

Entry 3:
# Li2MnAs2

Crystalline Li2MnAs2 at its relaxed geometry (PBE, the Alexandria database).

Geometry as CIF:
```
data_Li2MnAs2
_space_group_name_H-M_alt 'P 4/m b m'
_space_group_IT_number 127
_space_group_name_Hall '-P 4 2ab'
_cell_length_a 6.175
_cell_length_b 6.175
_cell_length_c 4.008
_cell_angle_alpha 90.00
_cell_angle_beta 90.00
_cell_angle_gamma 90.00
loop_
_atom_site_label
_atom_site_type_symbol
_atom_site_fract_x
_atom_site_fract_y
_atom_site_fract_z
Li1 Li 0.167 0.333 0.000
Mn1 Mn 0.000 0.000 0.500
As1 As 0.148 0.648 0.500
```

Results
Volume, A^3/atom: 15.3
Magnetization, μB per formula unit: 0.0
DFT formation energy, eV/atom: -0.319
Crystal system: tetragonal

Entry 4:
# PrSi2

Crystalline PrSi2 at its relaxed geometry (PBE, the Alexandria database).

Geometry as CIF:
```
data_PrSi2
_space_group_name_H-M_alt 'I 41/a m d'
_space_group_IT_number 141
_cell_length_a 4.219
_cell_length_b 4.219
_cell_length_c 14.205
_cell_angle_alpha 90.00
_cell_angle_beta 90.00
_cell_angle_gamma 90.00
loop_
_space_group_symop_operation_xyz
'x,y,z'
'-x,-y,-z'
'-y+1/4,x+3/4,z+1/4'
'y+1/4,-x+3/4,-z+1/4'
'-x+1/2,-y,z+1/2'
'x+1/2,y,-z+1/2'
'y+1/4,-x+1/4,z+3/4'
'-y+1/4,x+1/4,-z+3/4'
'x,-y,-z'
'-x,y,z'
'-y+1/4,-x+1/4,-z+3/4'
'y+1/4,x+1/4,z+3/4'
'-x+1/2,y,-z+1/2'
'x+1/2,-y,z+1/2'
'y+1/4,x+3/4,-z+1/4'
'-y+1/4,-x+3/4,z+1/4'
'x+1/2,y+1/2,z+1/2'
'-x+1/2,-y+1/2,-z+1/2'
'-y+3/4,x+1/4,z+3/4'
'y+3/4,-x+1/4,-z+3/4'
'-x,-y+1/2,z'
'x,y+1/2,-z'
'y+3/4,-x+3/4,z+1/4'
'-y+3/4,x+3/4,-z+1/4'
'x+1/2,-y+1/2,-z+1/2'
'-x+1/2,y+1/2,z+1/2'
'-y+3/4,-x+3/4,-z+1/4'
'y+3/4,x+3/4,z+1/4'
'-x,y+1/2,-z'
'x,-y+1/2,z'
'y+3/4,x+1/4,-z+3/4'
'-y+3/4,-x+1/4,z+3/4'
loop_
_atom_site_label
_atom_site_type_symbol
_atom_site_fract_x
_atom_site_fract_y
_atom_site_fract_z
Pr1 Pr 0.000 0.250 0.375
Si1 Si 0.000 0.250 0.791
```

Results
Volume, A^3/atom: 21.1
Magnetization, μB per formula unit: 0.0
E_form (uncorrected), meV/atom: -599
Crystal system: tetragonal

Entry 5:
# KZnReH2

Crystalline KZnReH2 at its relaxed geometry (PBE, the Alexandria database).

Geometry as CIF:
```
data_KZnReH2
_space_group_name_H-M_alt 'P 4/m m m'
_space_group_IT_number 123
_space_group_name_Hall '-P 4 2'
_cell_length_a 4.241
_cell_length_b 4.241
_cell_length_c 6.311
_cell_angle_alpha 90.00
_cell_angle_beta 90.00
_cell_angle_gamma 90.00
loop_
_atom_site_label
_atom_site_type_symbol
_atom_site_fract_x
_atom_site_fract_y
_atom_site_fract_z
K1 K 0.000 0.000 0.000
Zn1 Zn 0.000 0.000 0.500
Re1 Re 0.500 0.500 0.000
H1 H 0.000 0.500 0.500
```

Results
Volume, A^3/atom: 22.7
Magnetization, μB per formula unit: 4.4
Crystal system: tetragonal
Distance to the lowest polymorph of the same formula, meV per atom: 35

Entry 6:
# TiB2Mo

Crystalline TiB2Mo at its relaxed geometry (PBE, the Alexandria database).

Geometry as CIF:
```
data_TiB2Mo
_space_group_name_H-M_alt 'A m m 2'
_space_group_IT_number 38
_space_group_name_Hall 'A 2 -2'
_cell_length_a 3.082
_cell_length_b 3.180
_cell_length_c 8.463
_cell_angle_alpha 90.00
_cell_angle_beta 90.00
_cell_angle_gamma 90.00
loop_
_atom_site_label
_atom_site_type_symbol
_atom_site_fract_x
_atom_site_fract_y
_atom_site_fract_z
Ti1 Ti 0.000 0.000 0.000
B1 B 0.000 0.000 0.294
B2 B 0.500 0.000 0.412
Mo1 Mo 0.500 0.000 0.707
```

Results
Volume, A^3/atom: 10.4
Magnetization, μB per formula unit: 0.0
DFT formation energy, eV/atom: -0.820
Crystal system: orthorhombic
Distance to the lowest polymorph of the same formula, meV per atom: 0